Here is a relaxed Er12Re3O5 crystal from Alexandria via LeMat-Bulk. Energies are from PBE-GGA.

Calculated values
- energy relative to the elements, uncorrected (eV/atom) = -1.400

```
80
Lattice="-12.575 3.276 0.662 1.042 -12.776 -2.237 5.842 2.923 11.253" Properties=species:S:1:pos:R:3 pbc="T T T"
O -5.767 -4.750 -0.787
O -5.488 -8.400 1.270
Er 2.931 -7.406 9.212
O -3.367 3.100 5.957
O 0.521 -6.388 -1.118
O 0.000 0.000 0.000
Er -0.029 -6.005 8.423
Er -5.663 -0.571 1.255
Er -3.840 -3.651 0.308
Er -3.180 1.938 3.781
Re -0.283 -6.526 5.604
Er -6.021 -5.123 7.702
Er -1.852 -2.925 9.370
Er -4.446 -4.773 3.674
Er -9.195 -8.779 -1.207
Re 3.721 -8.577 6.565
Re -9.413 2.001 3.113
O -6.590 -4.431 3.318
Er -10.582 -3.905 1.367
Er -10.167 -0.777 3.098
O -1.967 -4.976 8.582
O -6.288 1.638 0.331
Er -8.622 0.830 0.466
Re -9.492 -6.350 0.308
Er -2.511 -8.514 5.897
O 0.279 -3.650 2.057
Er -5.163 -1.960 9.425
O 3.442 -4.926 4.508
Er -3.060 -1.458 3.188
O -5.971 -2.926 7.621
Er 1.520 -1.952 8.461
O 2.921 1.462 5.627
O -0.204 1.824 8.408
Er -7.770 3.566 7.384
Er 4.475 -5.799 6.580
Er -6.586 2.335 2.686
Er -7.957 0.524 5.282
Er 4.890 -2.671 8.311
O -4.190 3.418 10.063
Er -0.738 -7.880 3.105
Er -4.599 -2.096 6.114
Er -1.598 1.551 6.729
Er 2.079 -10.142 2.294
Re -3.087 -0.551 8.015
Er -4.703 -6.879 -0.112
Er -2.632 -5.118 6.491
Er -4.954 1.304 6.573
O -3.725 -1.600 1.096
Er -7.433 -5.951 4.666
O -7.092 1.500 7.053
Re -0.823 0.318 4.106
Re -8.310 -1.968 1.064
O -2.846 -3.288 4.839
Er -4.298 1.222 10.111
Er 0.435 -11.012 -0.611
Er -1.246 -1.803 6.004
Er -0.989 0.303 9.790
Er 0.894 -8.911 6.992
Er -1.092 -4.480 3.564
Er -4.093 -8.127 2.949
Re -2.604 -6.025 1.663
Er -6.127 4.436 10.289
O 0.898 -2.145 6.360
Re 2.619 -4.608 8.614
Er 1.741 -0.625 5.012
Er 1.919 1.578 7.886
O 1.400 -8.076 2.625
Er -7.212 -4.624 1.217
Er -7.610 -8.154 1.792
Er -1.394 -7.798 -0.433
O -1.502 -9.994 -0.385
Re -5.408 -0.050 4.074
Er 2.266 -7.100 4.396
Er 3.503 2.203 10.885
Re -4.869 -6.894 5.572
Er -0.528 -4.616 0.253
Er -7.268 -2.377 3.716
Er 0.329 -1.453 1.976
Re 3.800 -0.226 9.370
Er 1.576 -4.199 5.962
```


Here is a relaxed Na2ZnPbCl6 crystal from Alexandria via LeMat-Bulk. Energies are from PBE-GGA.

Calculated values
- energy relative to the elements, uncorrected (eV/atom) = -1.364

```
10
Lattice="6.954 0.002 0.001 3.479 6.022 -0.002 3.478 2.006 6.227" Properties=species:S:1:pos:R:3 pbc="T T T"
Pb 10.432 6.023 3.453
Cl 9.515 3.920 1.484
Zn 3.478 2.005 0.270
Cl 5.760 6.278 1.483
Cl 7.980 5.713 4.814
Cl 4.974 4.051 4.814
Cl 5.592 1.848 1.486
Cl 7.915 2.281 4.816
Na 3.479 2.008 5.922
Na 6.956 4.016 2.682
```


Here is a relaxed Hf2AgHg crystal from Alexandria via LeMat-Bulk. Energies are from PBE-GGA.

```
4
Lattice="-0.979 -1.807 2.818 0.085 -2.949 -1.861 6.474 -0.878 1.686" Properties=species:S:1:pos:R:3 pbc="T T T"
Hf 1.223 -2.604 0.914
Hf 6.383 -0.865 1.662
Ag 4.392 -3.034 1.739
Hg 3.293 -0.446 0.858
```


Here is a relaxed ZrAs2Cl crystal from Alexandria via LeMat-Bulk. Energies are from PBE-GGA.

Calculated values
- energy above the most stable polymorph in this dataset (meV/atom) = 0
- energy relative to the elements, uncorrected (eV/atom) = -0.732

```
4
Lattice="3.524 0.000 0.000 0.000 3.874 -0.011 0.000 0.033 7.829" Properties=species:S:1:pos:R:3 pbc="T T T"
Zr 1.762 2.450 6.493
As 1.762 0.483 1.208
Cl 0.000 2.444 4.544
As 0.000 0.516 7.312
```


Here is a relaxed RbBe3S crystal from Alexandria via LeMat-Bulk. Energies are from PBE-GGA.

Calculated values
- energy above the most stable polymorph in this dataset (meV/atom) = 1304
- energy relative to the elements, uncorrected (eV/atom) = 2.449

```
5
Lattice="6.397 0.000 0.000 0.000 6.397 0.000 0.000 0.000 6.397" Properties=species:S:1:pos:R:3 pbc="T T T"
S 3.199 3.199 3.199
Rb 0.000 0.000 0.000
Be 3.199 0.000 0.000
Be 0.000 3.199 0.000
Be 0.000 0.000 3.199
```


Here is a relaxed SbAs2Pt crystal from Alexandria via LeMat-Bulk. Energies are from PBE-GGA.

Calculated values
- energy relative to the elements, uncorrected (eV/atom) = 0.279

```
4
Lattice="5.003 0.000 0.000 0.000 5.003 0.000 0.000 0.000 3.125" Properties=species:S:1:pos:R:3 pbc="T T T"
As 0.000 0.000 0.000
Sb 0.000 2.502 1.562
As 2.502 2.502 0.000
Pt 2.502 0.000 1.562
```


| no. | E_tot (eV/cell) |
| --- | --- |
| 1 | -579.5 |
| 2 | -32.3 |
| 3 | -23.4 |
| 4 | -22.6 |
| 5 | -4.0 |
| 6 | -18.3 |